1.
Here is Tb3HfPb2C2 after structural relaxation from OQMD via LeMat-Bulk. Energies are from PBE-GGA.

```
8
Lattice="3.559 0.000 0.000 -1.779 3.082 0.000 0.000 0.000 15.938" Properties=species:S:1:pos:R:3 pbc="T T T"
Tb 0.000 0.000 0.000
Tb 0.000 0.000 5.443
Tb 0.000 2.055 8.161
Hf 0.000 2.055 13.401
Pb 0.000 0.000 10.908
Pb 0.000 2.055 2.692
C 1.779 1.027 6.809
C 1.779 1.027 14.455
```

Properties
symmetry	P3m1

=====

2.
Here is TbHf3Pb2C2 after structural relaxation from OQMD via LeMat-Bulk. Energies are from PBE-GGA.

```
8
Lattice="3.424 0.000 0.000 -1.712 2.965 0.000 0.000 0.000 15.144" Properties=species:S:1:pos:R:3 pbc="T T T"
Tb 0.000 0.000 0.000
Hf 0.000 0.000 5.224
Hf 0.000 1.977 7.589
Hf 0.000 1.977 12.563
Pb 0.000 0.000 10.070
Pb 0.000 1.977 2.723
C 1.712 0.988 6.408
C 1.712 0.988 13.658
```

Properties
symmetry	P3m1

=====

3.
Here is TmHfPbC after structural relaxation from OQMD via LeMat-Bulk. Energies are from PBE-GGA.

```
8
Lattice="3.454 0.000 0.000 -1.727 2.992 0.000 0.000 0.000 15.295" Properties=species:S:1:pos:R:3 pbc="T T T"
Tm 0.000 1.994 0.000
Tm 1.727 0.997 7.647
Hf 0.000 1.994 10.157
Hf 1.727 0.997 2.510
Pb 0.000 1.994 5.000
Pb 1.727 0.997 12.648
C 0.000 0.000 1.398
C 0.000 0.000 9.045
```

Properties
symmetry	P6_3mc

=====

Record-wise total DFT energy (no corrections) values, in eV/cell: -53.79; -65.15; -59.59